(1)
! PmTl2InS4, relaxed, DFT PBE-GGA; values from VASP
! * space group: No. 74
! * energy relative to the elements, uncorrected: -0.909 eV per atom
&SYSTEM
  ibrav = 0, nat = 16, ntyp = 4
/
ATOMIC_SPECIES
Pm 145.00 Pm.upf
Tl 204.38 Tl.upf
In 114.82 In.upf
S 32.06 S.upf
CELL_PARAMETERS angstrom
-4.145 4.239 5.983
4.145 -4.239 5.983
4.145 4.239 -5.983
ATOMIC_POSITIONS crystal
Pm 0.000 0.000 0.000
Pm 0.500 0.000 0.500
Tl 0.000 0.500 0.500
Tl 0.500 0.000 0.000
Tl 0.500 0.500 0.000
Tl 0.500 0.500 0.500
In 0.000 0.000 0.500
In 0.000 0.500 0.000
S 0.200 0.239 0.961
S 0.222 0.761 0.461
S 0.232 0.207 0.475
S 0.232 0.757 0.025
S 0.768 0.243 0.975
S 0.768 0.793 0.525
S 0.778 0.239 0.539
S 0.800 0.761 0.039

---

(2)
! LiCa4In5, relaxed, DFT PBE-GGA; values from VASP
! * space group: No. 123
! * formation energy: -0.417 eV/atom
&SYSTEM
  ibrav = 0, nat = 10, ntyp = 3
/
ATOMIC_SPECIES
Li 6.94 Li.upf
Ca 40.08 Ca.upf
In 114.82 In.upf
CELL_PARAMETERS angstrom
3.765 0.000 0.000
0.000 3.765 0.000
0.000 0.000 19.102
ATOMIC_POSITIONS crystal
Li 0.000 0.000 0.000
Ca 0.000 0.000 0.189
Ca 0.000 0.000 0.397
Ca 0.000 0.000 0.603
Ca 0.000 0.000 0.811
In 0.500 0.500 0.081
In 0.500 0.500 0.294
In 0.500 0.500 0.500
In 0.500 0.500 0.706
In 0.500 0.500 0.919

---

(3)
! Ce6As3Se2S, relaxed, DFT PBE-GGA; values from VASP
! * space group: No. 12
! * energy relative to the elements, uncorrected: -1.669 eV per atom
&SYSTEM
  ibrav = 0, nat = 12, ntyp = 4
/
ATOMIC_SPECIES
Ce 140.12 Ce.upf
As 74.92 As.upf
Se 78.96 Se.upf
S 32.06 S.upf
CELL_PARAMETERS angstrom
9.113 -2.096 0.000
9.113 2.096 0.000
-1.875 0.000 8.152
ATOMIC_POSITIONS crystal
Ce 0.002 0.002 0.257
Ce 0.334 0.334 0.914
Ce 0.336 0.336 0.421
Ce 0.664 0.664 0.579
Ce 0.666 0.666 0.086
Ce 0.998 0.998 0.743
As 0.168 0.168 0.334
As 0.500 0.500 0.000
As 0.832 0.832 0.666
Se 0.166 0.166 0.833
Se 0.834 0.834 0.167
S 0.500 0.500 0.500

---

(4)
! Ga2Te4O11, relaxed, DFT PBE-GGA; values from VASP
! * space group: No. 1
! * energy relative to the elements, uncorrected: -1.260 eV per atom
&SYSTEM
  ibrav = 0, nat = 17, ntyp = 3
/
ATOMIC_SPECIES
Ga 69.72 Ga.upf
Te 127.60 Te.upf
O 16.00 O.upf
CELL_PARAMETERS angstrom
5.248 0.000 0.000
2.295 6.235 0.000
0.176 2.178 8.150
ATOMIC_POSITIONS crystal
Ga 0.000 0.000 0.000
Ga 0.292 0.401 0.613
Te 0.040 0.022 0.413
Te 0.243 0.435 0.995
Te 0.579 0.873 0.802
Te 0.719 0.605 0.343
O 0.017 0.293 0.941
O 0.044 0.312 0.304
O 0.277 0.115 0.661
O 0.301 0.557 0.770
O 0.370 0.825 0.987
O 0.421 0.867 0.413
O 0.570 0.393 0.468
O 0.685 0.100 0.853
O 0.918 0.963 0.222
O 0.942 0.693 0.008
O 0.953 0.608 0.511

---

(5)
! BaCa2ZnCo, relaxed, DFT PBE-GGA; values from VASP
! * space group: No. 123
! * formation energy: 1.211 eV/atom
&SYSTEM
  ibrav = 0, nat = 5, ntyp = 4
/
ATOMIC_SPECIES
Ba 137.33 Ba.upf
Ca 40.08 Ca.upf
Zn 65.41 Zn.upf
Co 58.93 Co.upf
CELL_PARAMETERS angstrom
6.135 0.000 0.000
0.000 6.135 0.000
0.000 0.000 4.687
ATOMIC_POSITIONS crystal
Ba 0.000 0.000 0.000
Ca 0.000 0.500 0.000
Ca 0.500 0.000 0.000
Zn 0.500 0.500 0.500
Co 0.000 0.000 0.500

---

(6)
! La3Sm2In, relaxed, DFT PBE-GGA; values from VASP
! * space group: No. 12
! * formation energy: -0.006 eV/atom
! * polymorph energy (0 for the lowest one): 150 meV per atom
&SYSTEM
  ibrav = 0, nat = 12, ntyp = 3
/
ATOMIC_SPECIES
La 138.91 La.upf
Sm 150.36 Sm.upf
In 114.82 In.upf
CELL_PARAMETERS angstrom
8.667 -1.763 0.000
8.667 1.763 0.000
-5.980 0.000 13.496
ATOMIC_POSITIONS crystal
La 0.031 0.031 0.229
La 0.254 0.254 0.702
La 0.396 0.396 0.955
La 0.604 0.604 0.045
La 0.746 0.746 0.298
La 0.969 0.969 0.771
Sm 0.183 0.183 0.891
Sm 0.357 0.357 0.528
Sm 0.643 0.643 0.472
Sm 0.817 0.817 0.109
In 0.425 0.425 0.340
In 0.575 0.575 0.660

---

(7)
! Pr4PuSe5, relaxed, DFT PBE-GGA; values from VASP
! * space group: No. 87
! * energy relative to the elements, uncorrected: -1.792 eV per atom
&SYSTEM
  ibrav = 0, nat = 10, ntyp = 3
/
ATOMIC_SPECIES
Pr 140.91 Pr.upf
Pu 244.00 Pu.upf
Se 78.96 Se.upf
CELL_PARAMETERS angstrom
-4.743 4.743 3.001
4.743 -4.743 3.001
4.743 4.743 -3.001
ATOMIC_POSITIONS crystal
Pr 0.096 0.301 0.396
Pr 0.301 0.904 0.205
Pr 0.699 0.096 0.795
Pr 0.904 0.699 0.604
Pu 0.500 0.500 0.000
Se 0.000 0.000 0.000
Se 0.207 0.599 0.805
Se 0.401 0.207 0.608
Se 0.599 0.793 0.392
Se 0.793 0.401 0.195

---

(8)
! MoW4, relaxed, DFT PBE-GGA; values from VASP
! * space group: No. 13
! * formation energy: 0.527 eV/atom
! * polymorph energy (0 for the lowest one): 535 meV per atom
&SYSTEM
  ibrav = 0, nat = 10, ntyp = 2
/
ATOMIC_SPECIES
Mo 95.94 Mo.upf
W 183.84 W.upf
CELL_PARAMETERS angstrom
5.096 0.000 0.000
0.000 7.838 0.000
-1.552 0.000 4.272
ATOMIC_POSITIONS crystal
Mo 0.000 0.121 0.250
Mo 0.000 0.879 0.750
W 0.264 0.414 0.439
W 0.264 0.586 0.939
W 0.339 0.150 0.922
W 0.339 0.850 0.422
W 0.661 0.150 0.578
W 0.661 0.850 0.078
W 0.736 0.414 0.061
W 0.736 0.586 0.561

---

(9)
! Tb5Er3Sc, relaxed, DFT PBE-GGA; values from VASP
! * space group: No. 12
! * formation energy: 0.597 eV/atom
&SYSTEM
  ibrav = 0, nat = 18, ntyp = 3
/
ATOMIC_SPECIES
Tb 158.93 Tb.upf
Er 167.26 Er.upf
Sc 44.96 Sc.upf
CELL_PARAMETERS angstrom
6.004 -5.589 0.000
6.004 5.589 0.000
-5.649 0.000 9.894
ATOMIC_POSITIONS crystal
Tb 0.007 0.007 0.374
Tb 0.072 0.583 0.206
Tb 0.179 0.179 0.953
Tb 0.217 0.783 0.000
Tb 0.417 0.928 0.794
Tb 0.583 0.072 0.206
Tb 0.783 0.217 0.000
Tb 0.821 0.821 0.047
Tb 0.928 0.417 0.794
Tb 0.993 0.993 0.626
Er 0.181 0.181 0.241
Er 0.283 0.283 0.656
Er 0.500 0.500 0.000
Er 0.500 0.500 0.500
Er 0.717 0.717 0.344
Er 0.819 0.819 0.759
Sc 0.430 0.430 0.210
Sc 0.570 0.570 0.790

---

(10)
! TcNiCl2, relaxed, DFT PBE-GGA; values from VASP
! * space group: No. 122
! * energy relative to the elements, uncorrected: 0.504 eV per atom
! * polymorph energy (0 for the lowest one): 557 meV per atom
&SYSTEM
  ibrav = 0, nat = 8, ntyp = 3
/
ATOMIC_SPECIES
Tc 98.00 Tc.upf
Ni 58.69 Ni.upf
Cl 35.45 Cl.upf
CELL_PARAMETERS angstrom
-2.658 2.658 5.134
2.658 -2.658 5.134
2.658 2.658 -5.134
ATOMIC_POSITIONS crystal
Tc 0.000 0.000 0.000
Tc 0.750 0.250 0.500
Ni 0.250 0.750 0.500
Ni 0.500 0.500 0.000
Cl 0.142 0.625 0.017
Cl 0.375 0.392 0.517
Cl 0.608 0.125 0.983
Cl 0.875 0.858 0.483

---

(11)
! Ac4N3O, relaxed, DFT PBE-GGA; values from VASP
! * space group: No. 65
! * energy relative to the elements, uncorrected: -1.516 eV per atom
! * polymorph energy (0 for the lowest one): 0 meV per atom
&SYSTEM
  ibrav = 0, nat = 8, ntyp = 3
/
ATOMIC_SPECIES
Ac 227.00 Ac.upf
N 14.01 N.upf
O 16.00 O.upf
CELL_PARAMETERS angstrom
3.887 -5.487 0.000
3.887 5.487 0.000
0.000 0.000 3.887
ATOMIC_POSITIONS crystal
Ac 0.246 0.246 0.500
Ac 0.249 0.751 0.000
Ac 0.751 0.249 0.000
Ac 0.754 0.754 0.500
N 0.000 0.000 0.000
N 0.000 0.500 0.500
N 0.500 0.000 0.500
O 0.500 0.500 0.000

---

(12)
! Dy5Tl2Cd, relaxed, DFT PBE-GGA; values from VASP
! * space group: No. 63
! * formation energy: -0.145 eV/atom
&SYSTEM
  ibrav = 0, nat = 16, ntyp = 3
/
ATOMIC_SPECIES
Dy 162.50 Dy.upf
Tl 204.38 Tl.upf
Cd 112.41 Cd.upf
CELL_PARAMETERS angstrom
2.321 -5.561 0.000
2.321 5.561 0.000
0.000 0.000 17.630
ATOMIC_POSITIONS crystal
Dy 0.045 0.955 0.598
Dy 0.045 0.955 0.902
Dy 0.346 0.654 0.539
Dy 0.346 0.654 0.961
Dy 0.454 0.546 0.750
Dy 0.546 0.454 0.250
Dy 0.654 0.346 0.039
Dy 0.654 0.346 0.461
Dy 0.955 0.045 0.098
Dy 0.955 0.045 0.402
Tl 0.241 0.759 0.151
Tl 0.241 0.759 0.349
Tl 0.759 0.241 0.651
Tl 0.759 0.241 0.849
Cd 0.166 0.834 0.750
Cd 0.834 0.166 0.250